Compound: Gd6Ta4Al43
Source: Alexandria
Functional: PBE-GGA
Structure: optimized geometry

As for the formation energy: -0.317 eV per atom.

Unit cell a=11.1409 b=11.1409 c=17.8688 alpha=90.00 beta=90.00 gamma=120.00
Last column: nearest neighbours and their distance in Å.
Space group P6_3/mcm (No. 193)
Unique sites:
Gd: 0.0000 0.4710 0.0960 x12  14 Al 3.07-3.43
Ta: 0.0000 0.0000 0.0000 x2  12 Al 2.72-2.89
Ta: 0.0000 0.2728 0.2500 x6  10 Al 2.64-2.76
Al: 0.0000 0.1478 0.7500 x6  2 Ta 2.64, 6 Al 2.85-2.87
Al: 0.0000 0.1588 0.1153 x12  2 Ta 2.72, 7 Al 2.77-2.95
Al: 0.0000 0.2552 0.5294 x12  9 Al 2.76-3.03, 1 Ta 2.89
Al: 0.1491 0.5547 0.2500 x12  1 Ta 2.72, 7 Al 2.75-2.88
Al: 0.1584 0.3950 0.6632 x24  7 Al 2.74-3.06, 1 Ta 2.76, 1 Gd 3.07
Al: 0.2470 0.4941 0.0000 x12  6 Al 2.76-2.88
Al: 0.3333 0.6667 0.1255 x8  9 Al 2.74-2.86